# 1
DFT (GGA-PBE) results for a geometry-optimized Y3ErGa4 structure. Values from VASP.

The structure in Quantum ESPRESSO input format:
```
&SYSTEM
  ibrav = 0, nat = 8, ntyp = 3
/
ATOMIC_SPECIES
Y 88.91 Y.upf
Er 167.26 Er.upf
Ga 69.72 Ga.upf
ATOMIC_POSITIONS crystal
Y 0.0000 0.0000 0.0000
Y 0.2497 0.2497 0.2497
Y 0.7503 0.7503 0.7503
Er 0.5000 0.5000 0.5000
Ga 0.1255 0.1255 0.1255
Ga 0.3755 0.3755 0.3755
Ga 0.6245 0.6245 0.6245
Ga 0.8745 0.8745 0.8745
CELL_PARAMETERS angstrom
2.5214 1.4557 8.2587
-2.5214 1.4557 8.2587
0.0000 -2.9115 8.2587
```

## Properties
Formation enthalpy at 0 K, meV/atom: -594
Space group: R-3m (166)

# 2
DFT (GGA-PBE) results for a geometry-optimized YEr2Ga structure. Values from VASP.

The structure in Quantum ESPRESSO input format:
```
&SYSTEM
  ibrav = 0, nat = 12, ntyp = 3
/
ATOMIC_SPECIES
Y 88.91 Y.upf
Er 167.26 Er.upf
Ga 69.72 Ga.upf
ATOMIC_POSITIONS crystal
Y 0.0000 0.0000 0.0000
Y 0.3333 0.6667 0.6667
Y 0.6667 0.3333 0.3333
Er 0.0000 0.0000 0.2378
Er 0.0000 0.0000 0.4294
Er 0.3333 0.6667 0.0961
Er 0.3333 0.6667 0.9045
Er 0.6667 0.3333 0.5711
Er 0.6667 0.3333 0.7628
Ga 0.0000 0.0000 0.8340
Ga 0.3333 0.6667 0.5006
Ga 0.6667 0.3333 0.1673
CELL_PARAMETERS angstrom
3.5907 0.0000 0.0000
-1.7954 3.1097 0.0000
0.0000 0.0000 30.3783
```

## Properties
Distance to the lowest polymorph of the same formula, eV/atom: 0.083
Formation enthalpy at 0 K, meV/atom: -204
Space group: R3m (160)

# 3
DFT (GGA-PBE) results for a geometry-optimized YEr2Ga structure. Values from VASP.

The structure in Quantum ESPRESSO input format:
```
&SYSTEM
  ibrav = 0, nat = 12, ntyp = 3
/
ATOMIC_SPECIES
Y 88.91 Y.upf
Er 167.26 Er.upf
Ga 69.72 Ga.upf
ATOMIC_POSITIONS crystal
Y 0.0000 0.0000 0.0000
Y 0.3333 0.6667 0.6667
Y 0.6667 0.3333 0.3333
Er 0.0000 0.0000 0.4147
Er 0.0000 0.0000 0.5853
Er 0.3333 0.6667 0.0814
Er 0.3333 0.6667 0.2520
Er 0.6667 0.3333 0.7480
Er 0.6667 0.3333 0.9186
Ga 0.0000 0.0000 0.5000
Ga 0.3333 0.6667 0.1667
Ga 0.6667 0.3333 0.8333
CELL_PARAMETERS angstrom
3.4754 0.0000 0.0000
-1.7377 3.0098 0.0000
0.0000 0.0000 34.7557
```

## Properties
Distance to the lowest polymorph of the same formula, eV/atom: 0.432
Formation enthalpy at 0 K, meV/atom: 146
Space group: R-3m (166)

# 4
DFT (GGA-PBE) results for a geometry-optimized YEr2Ga structure. Values from VASP.

The structure in Quantum ESPRESSO input format:
```
&SYSTEM
  ibrav = 0, nat = 16, ntyp = 3
/
ATOMIC_SPECIES
Y 88.91 Y.upf
Er 167.26 Er.upf
Ga 69.72 Ga.upf
ATOMIC_POSITIONS crystal
Y 0.0000 0.0598 0.2500
Y 0.0000 0.9402 0.7500
Y 0.5000 0.4402 0.7500
Y 0.5000 0.5598 0.2500
Er 0.0000 0.3559 0.0580
Er 0.0000 0.3559 0.4420
Er 0.0000 0.6441 0.5580
Er 0.0000 0.6441 0.9420
Er 0.5000 0.1441 0.5580
Er 0.5000 0.1441 0.9420
Er 0.5000 0.8559 0.0580
Er 0.5000 0.8559 0.4420
Ga 0.0000 0.2537 0.7500
Ga 0.0000 0.7463 0.2500
Ga 0.5000 0.2463 0.2500
Ga 0.5000 0.7537 0.7500
CELL_PARAMETERS angstrom
4.2220 0.0000 0.0000
0.0000 11.7030 0.0000
0.0000 0.0000 9.0571
```

## Properties
Distance to the lowest polymorph of the same formula, eV/atom: 0.017
Formation enthalpy at 0 K, meV/atom: -269
Space group: Cmcm (63)

# 5
DFT (GGA-PBE) results for a geometry-optimized YErGa3 structure. Values from VASP.

The structure in Quantum ESPRESSO input format:
```
&SYSTEM
  ibrav = 0, nat = 10, ntyp = 3
/
ATOMIC_SPECIES
Y 88.91 Y.upf
Er 167.26 Er.upf
Ga 69.72 Ga.upf
ATOMIC_POSITIONS crystal
Y 0.0729 0.9271 0.7500
Y 0.9271 0.0729 0.2500
Er 0.2043 0.7957 0.2500
Er 0.7957 0.2043 0.7500
Ga 0.3232 0.6768 0.2500
Ga 0.3800 0.6200 0.7500
Ga 0.4758 0.5242 0.7500
Ga 0.5242 0.4758 0.2500
Ga 0.6200 0.3800 0.2500
Ga 0.6768 0.3232 0.7500
CELL_PARAMETERS angstrom
2.0825 -12.7532 0.0000
2.0825 12.7532 0.0000
0.0000 0.0000 4.1566
```

## Properties
Formation enthalpy at 0 K, meV/atom: -647
Space group: Cmcm (63)

# 6
DFT (GGA-PBE) results for a geometry-optimized YEr3Ga3 structure. Values from VASP.

The structure in Quantum ESPRESSO input format:
```
&SYSTEM
  ibrav = 0, nat = 14, ntyp = 3
/
ATOMIC_SPECIES
Y 88.91 Y.upf
Er 167.26 Er.upf
Ga 69.72 Ga.upf
ATOMIC_POSITIONS crystal
Y 0.3333 0.6667 0.2500
Y 0.6667 0.3333 0.7500
Er 0.0147 0.2531 0.7500
Er 0.2384 0.9853 0.7500
Er 0.2531 0.2384 0.2500
Er 0.7469 0.7616 0.7500
Er 0.7616 0.0147 0.2500
Er 0.9853 0.7469 0.2500
Ga 0.0587 0.6091 0.7500
Ga 0.3909 0.4496 0.7500
Ga 0.4496 0.0587 0.2500
Ga 0.5504 0.9413 0.7500
Ga 0.6091 0.5504 0.2500
Ga 0.9413 0.3909 0.2500
CELL_PARAMETERS angstrom
9.0619 0.0000 0.0000
-4.5310 7.8478 0.0000
0.0000 0.0000 4.7647
```

## Properties
Formation enthalpy at 0 K, meV/atom: -437
Space group: P6_3/m (176)